Record 1
# RbNaCo2 PBE optimized geometry
# N(E_F) = 13.0 states/eV/f.u.
# Total moment = 15.4 μB/cell
# DFT total energy = -41.7 eV per cell
# Calculated formation energy = 1519 meV per atom
data_RbNaCo2
_symmetry_space_group_name_H-M 'F m -3 m'
_symmetry_Int_Tables_number 225
_symmetry_space_group_name_Hall '-F 4 2 3'
_cell_length_a 7.4773
_cell_length_b 7.4773
_cell_length_c 7.4773
_cell_angle_alpha 90.00
_cell_angle_beta 90.00
_cell_angle_gamma 90.00
loop_
_atom_site_label
_atom_site_type_symbol
_atom_site_fract_x
_atom_site_fract_y
_atom_site_fract_z
Rb1 Rb 0.0000 0.0000 0.0000
Na1 Na 0.0000 0.0000 0.5000
Co1 Co 0.2500 0.2500 0.2500

Record 2
# Pr12Sm2Y5 PBE optimized geometry
# N(E_F) = 30.0 states/eV/f.u.
# Total moment = 0.0 μB/cell
# DFT total energy = -192.3 eV per cell
# Energy above the most stable polymorph in this dataset = 0.032 eV per atom
# Calculated formation energy = 157 meV per atom
data_Pr12Sm2Y5
_symmetry_space_group_name_H-M 'C 1 2/m 1'
_symmetry_Int_Tables_number 12
_symmetry_space_group_name_Hall '-C 2y'
_cell_length_a 19.5241
_cell_length_b 7.6210
_cell_length_c 10.1212
_cell_angle_alpha 90.00
_cell_angle_beta 117.15
_cell_angle_gamma 90.00
loop_
_atom_site_label
_atom_site_type_symbol
_atom_site_fract_x
_atom_site_fract_y
_atom_site_fract_z
Pr1 Pr 0.0031 0.0000 0.2083
Pr2 Pr 0.0085 0.5000 0.3343
Pr3 Pr 0.1611 0.2491 0.8477
Pr4 Pr 0.1649 0.2385 0.4964
Sm1 Sm 0.0000 0.3000 0.0000
Y1 Y 0.0000 0.0000 0.5000
Y2 Y 0.1763 0.0000 0.1735
Y3 Y 0.1806 0.5000 0.1950

Record 3
# AcPuSb2Pd5 PBE optimized geometry
# N(E_F) = 16.5 states/eV/f.u.
# Total moment = 5.5 μB/cell
# DFT total energy = -58.1 eV per cell
# Formation energy (no corrections) = -603 meV per atom
data_AcPuSb2Pd5
_symmetry_space_group_name_H-M 'P 4/m m m'
_symmetry_Int_Tables_number 123
_symmetry_space_group_name_Hall '-P 4 2'
_cell_length_a 4.4122
_cell_length_b 4.4122
_cell_length_c 10.0377
_cell_angle_alpha 90.00
_cell_angle_beta 90.00
_cell_angle_gamma 90.00
loop_
_atom_site_label
_atom_site_type_symbol
_atom_site_fract_x
_atom_site_fract_y
_atom_site_fract_z
Ac1 Ac 0.0000 0.0000 0.0000
Pu1 Pu 0.0000 0.0000 0.5000
Sb1 Sb 0.5000 0.5000 0.3556
Pd1 Pd 0.0000 0.5000 0.2122
Pd2 Pd 0.5000 0.5000 0.0000

Record 4
# Pb2SI2 PBE optimized geometry
# N(E_F) = 0.0 states/eV/f.u.
# Total moment = 0.0 μB/cell
# DFT total energy = -69.7 eV per cell
# Formation energy (no corrections) = -554 meV per atom
# Energy above the most stable polymorph in this dataset = 0.017 eV per atom
data_Pb2SI2
_symmetry_space_group_name_H-M 'P 1 21/c 1'
_symmetry_Int_Tables_number 14
_symmetry_space_group_name_Hall '-P 2ybc'
_cell_length_a 11.8683
_cell_length_b 8.5029
_cell_length_c 8.0504
_cell_angle_alpha 90.00
_cell_angle_beta 108.75
_cell_angle_gamma 90.00
loop_
_atom_site_label
_atom_site_type_symbol
_atom_site_fract_x
_atom_site_fract_y
_atom_site_fract_z
Pb1 Pb 0.0037 0.0991 0.2290
Pb2 Pb 0.3381 0.5051 0.6502
S1 S 0.1259 0.6448 0.6143
I1 I 0.2043 0.1375 0.7146
I2 I 0.4537 0.7298 0.9812